## one
VASP calculation (PBE) on crystalline AlPPb3 at its relaxed geometry.

abc: 5.4460 5.4460 5.4460
angles: 90.00 90.00 90.00
Closest atoms and distances in Å follow each position.
Fractional positions:
Al  0.0000  0.0000  0.0000  12 Pb 3.85
P  0.5000  0.5000  0.5000  6 Pb 2.72
Pb  0.0000  0.5000  0.5000  2 P 2.72
Pb  0.5000  0.0000  0.5000  2 P 2.72
Pb  0.5000  0.5000  0.0000  2 P 2.72

Computed properties:
Density ... 6.99 g/cm3
DOS(E_F) ... 3.1 states/eV/cell
SG ... No. 221

---

## two
VASP calculation (PBE) on crystalline AlPPb3 at its relaxed geometry.

abc: 5.3533 5.3533 5.3533
angles: 90.00 90.00 90.00
Closest atoms and distances in Å follow each position.
Fractional positions:
Al  0.0000  0.0000  0.0000  6 Pb 2.68
P  0.5000  0.5000  0.5000  12 Pb 3.79
Pb  0.0000  0.0000  0.5000  2 Al 2.68
Pb  0.0000  0.5000  0.0000  2 Al 2.68
Pb  0.5000  0.0000  0.0000  2 Al 2.68

Computed properties:
Density ... 7.36 g/cm3
DOS(E_F) ... 2.1 states/eV/cell
SG ... No. 221

---

The structure with the greatest stability is one.

---

## one
VASP calculation (PBE) on crystalline Al2PPb at its relaxed geometry.

abc: 3.7449 4.0671 6.5310
angles: 90.00 90.20 90.00
Closest atoms and distances in Å follow each position.
Fractional positions:
Al  0.0000  0.0000  0.0000  2 P 2.46
Al  0.5002  0.5000  0.0344  2 P 2.47
P  0.9987  0.5000  0.7884  4 Al 2.46-2.47
Pb  0.5029  0.0000  0.3645  4 Al 2.96-3.03

Computed properties:
Density ... 4.88 g/cm3
DOS(E_F) ... 0.8 states/eV/cell
SG ... No. 6

---

## two
VASP calculation (PBE) on crystalline Al2PPb at its relaxed geometry.

abc: 5.6831 5.6831 5.6831
angles: 143.96 128.09 64.81
Closest atoms and distances in Å follow each position.
Fractional positions:
Al  0.0000  0.0000  0.0000  2 P 2.41
Al  0.7377  0.2377  0.5000  4 Al 3.07-3.37, 4 P 3.11, 4 Pb 3.18-3.32
P  0.1722  0.6722  0.5000  2 Al 2.41
Pb  0.4439  0.4439  0.0000  8 Al 3.09-3.32, 4 P 3.14-3.31

Computed properties:
Density ... 5.78 g/cm3
DOS(E_F) ... 1.5 states/eV/cell
SG ... No. 44

---

The structure with the greatest stability is one.

---

## one
VASP calculation (PBE) on crystalline Al2PPb at its relaxed geometry.

abc: 7.5786 7.5786 7.5786
angles: 27.90 27.90 27.90
Closest atoms and distances in Å follow each position.
Fractional positions:
Al  0.2297  0.2297  0.2297  3 P 2.52
Al  0.7703  0.7703  0.7703  3 P 2.52
P  0.5000  0.5000  0.5000  6 Al 2.52
Pb  0.0000  0.0000  0.0000  6 Al 3.09

Computed properties:
Density ... 5.76 g/cm3
DOS(E_F) ... 1.7 states/eV/cell
SG ... No. 166

---

## two
VASP calculation (PBE) on crystalline Al2PPb at its relaxed geometry.

abc: 7.1244 7.1244 7.1244
angles: 129.55 129.55 74.13
Closest atoms and distances in Å follow each position.
Fractional positions:
Al  0.0715  0.6250  0.9465  2 P 2.40
Al  0.3750  0.3215  0.4465  2 P 2.40
Al  0.6785  0.1250  0.0535  2 P 2.40
Al  0.8750  0.9285  0.5535  2 P 2.40
P  0.0000  0.0000  0.0000  4 Al 2.40
P  0.7500  0.2500  0.5000  4 Al 2.40
Pb  0.2500  0.7500  0.5000  4 Al 2.78
Pb  0.5000  0.5000  0.0000  4 Al 2.78

Computed properties:
Density ... 4.63 g/cm3
DOS(E_F) ... 4.3 states/eV/cell
SG ... No. 122

---

The structure with the greatest stability is one.

---

## one
VASP calculation (PBE) on crystalline Al2PPb at its relaxed geometry.

abc: 4.8570 4.8570 4.8570
angles: 60.00 60.00 60.00
Closest atoms and distances in Å follow each position.
Fractional positions:
Al  0.2500  0.2500  0.2500  4 Pb 2.97, 4 P 2.97
Al  0.7500  0.7500  0.7500  4 Pb 2.97, 4 P 2.97
P  0.0000  0.0000  0.0000  8 Al 2.97
Pb  0.5000  0.5000  0.5000  8 Al 2.97

Computed properties:
Density ... 5.99 g/cm3
DOS(E_F) ... 1.7 states/eV/cell
SG ... No. 225

---

## two
VASP calculation (PBE) on crystalline Al2PPb at its relaxed geometry.

abc: 5.0809 5.0809 3.6467
angles: 90.00 90.00 110.58
Closest atoms and distances in Å follow each position.
Fractional positions:
Al  0.2009  0.7991  0.0000  2 P 2.48
Al  0.7991  0.2009  0.0000  2 P 2.48
P  0.0000  0.0000  0.5000  4 Al 2.48
Pb  0.5000  0.5000  0.5000  2 P 2.89, 4 Al 3.09

Computed properties:
Density ... 5.50 g/cm3
DOS(E_F) ... 1.9 states/eV/cell
SG ... No. 65

---

## three
VASP calculation (PBE) on crystalline Al2PPb at its relaxed geometry.

abc: 3.2645 3.2645 7.5204
angles: 90.00 90.00 90.00
Closest atoms and distances in Å follow each position.
Fractional positions:
Al  0.0000  0.0000  0.1810  4 P 2.68, 1 Al 2.72
Al  0.0000  0.0000  0.8190  4 P 2.68, 1 Al 2.72
P  0.5000  0.5000  0.0000  8 Al 2.68
Pb  0.5000  0.5000  0.5000  4 Pb 3.26, 8 Al 3.33

Computed properties:
Density ... 6.05 g/cm3
DOS(E_F) ... 1.3 states/eV/cell
SG ... No. 123

---

## four
VASP calculation (PBE) on crystalline Al2PPb at its relaxed geometry.

abc: 7.8694 7.8694 7.8694
angles: 27.15 27.15 27.15
Closest atoms and distances in Å follow each position.
Fractional positions:
Al  0.0000  0.0000  0.0000  3 P 2.38
Al  0.2482  0.2482  0.2482  3 Al 2.88, 3 Pb 3.18
P  0.7136  0.7136  0.7136  3 Al 2.38
Pb  0.4779  0.4779  0.4779  3 P 3.08, 3 Al 3.18

Computed properties:
Density ... 5.42 g/cm3
DOS(E_F) ... 2.2 states/eV/cell
SG ... No. 160

---

The structure with the greatest stability is two.